Material: InPd6Pt
Method: DFT, GGA-PBE
State: optimized geometry

Unit cell a=5.626 b=5.626 c=5.444 alpha=109.09 beta=109.09 gamma=109.88
Sites, in units of the cell vectors:
In (0.000, 0.000, 0.000)
Pd (0.000, 0.497, 0.750)
Pd (0.000, 0.503, 0.250)
Pd (0.497, 0.000, 0.750)
Pd (0.497, 0.497, 0.747)
Pd (0.503, 0.000, 0.250)
Pd (0.503, 0.503, 0.253)
Pt (0.000, 0.000, 0.500)

Results
D(E_F): 8.8 states/eV/cell
DFT formation energy: -0.05 eV per atom
total magnetic moment: 0.0 μB/cell
distance to the lowest polymorph of the same formula: 18.1 kJ/mol of atoms

Material: In12HgBi3
Method: DFT, GGA-PBE
State: optimized geometry

Unit cell a=5.179 b=5.179 c=16.922 alpha=90.00 beta=90.00 gamma=90.00
Sites, in units of the cell vectors:
In (0.000, 0.000, 0.000)
In (0.000, 0.000, 0.248)
In (0.000, 0.000, 0.500)
In (0.000, 0.000, 0.752)
In (0.000, 0.500, 0.117)
In (0.000, 0.500, 0.372)
In (0.000, 0.500, 0.628)
In (0.000, 0.500, 0.883)
In (0.500, 0.000, 0.117)
In (0.500, 0.000, 0.372)
In (0.500, 0.000, 0.628)
In (0.500, 0.000, 0.883)
Hg (0.500, 0.500, 0.000)
Bi (0.500, 0.500, 0.242)
Bi (0.500, 0.500, 0.500)
Bi (0.500, 0.500, 0.758)

Results
D(E_F): 6.7 states/eV/cell
DFT formation energy: 0.02 eV per atom
total magnetic moment: 0.0 μB/cell

Material: MgOs
Method: DFT, GGA-PBE
State: optimized geometry

Unit cell a=2.798 b=7.756 c=7.756 alpha=144.04 beta=90.00 gamma=90.00
Sites, in units of the cell vectors:
Mg (0.000, 0.000, 0.000)
Mg (0.500, 0.066, 0.688)
Mg (0.500, 0.688, 0.066)
Os (0.000, 0.239, 0.521)
Os (0.000, 0.521, 0.239)
Os (0.500, 0.515, 0.515)

Results
D(E_F): 4.2 states/eV/cell
DFT formation energy: 0.20 eV per atom
total magnetic moment: 0.0 μB/cell

Repeat the second record exactly.
Material: In12HgBi3
Method: DFT, GGA-PBE
State: optimized geometry

Unit cell a=5.179 b=5.179 c=16.922 alpha=90.00 beta=90.00 gamma=90.00
Sites, in units of the cell vectors:
In (0.000, 0.000, 0.000)
In (0.000, 0.000, 0.248)
In (0.000, 0.000, 0.500)
In (0.000, 0.000, 0.752)
In (0.000, 0.500, 0.117)
In (0.000, 0.500, 0.372)
In (0.000, 0.500, 0.628)
In (0.000, 0.500, 0.883)
In (0.500, 0.000, 0.117)
In (0.500, 0.000, 0.372)
In (0.500, 0.000, 0.628)
In (0.500, 0.000, 0.883)
Hg (0.500, 0.500, 0.000)
Bi (0.500, 0.500, 0.242)
Bi (0.500, 0.500, 0.500)
Bi (0.500, 0.500, 0.758)

Results
D(E_F): 6.7 states/eV/cell
DFT formation energy: 0.02 eV per atom
total magnetic moment: 0.0 μB/cell

Copy entry 3 word for word.
Material: MgOs
Method: DFT, GGA-PBE
State: optimized geometry

Unit cell a=2.798 b=7.756 c=7.756 alpha=144.04 beta=90.00 gamma=90.00
Sites, in units of the cell vectors:
Mg (0.000, 0.000, 0.000)
Mg (0.500, 0.066, 0.688)
Mg (0.500, 0.688, 0.066)
Os (0.000, 0.239, 0.521)
Os (0.000, 0.521, 0.239)
Os (0.500, 0.515, 0.515)

Results
D(E_F): 4.2 states/eV/cell
DFT formation energy: 0.20 eV per atom
total magnetic moment: 0.0 μB/cell